Material: Hf2Si4Ni3
Method: DFT, GGA-PBEsol
State: optimized geometry

Calculated values
- electronic total energy (eV/cell) = -140.1
- ΔE_f (raw) (meV/atom) = -844
- symmetry = Cmce

Cell lengths 5.1277, 6.8166, 7.2350 Å; angles 90.00, 110.75, 90.00 degrees
Fractional positions:
Si  0.6815  0.4774  0.3630
Si  0.8185  0.9774  0.6370
Si  0.6886  0.2500  0.8772
Si  0.8114  0.7500  0.1228
Si  0.1815  0.0226  0.3630
Si  0.3185  0.5226  0.6370
Si  0.3114  0.7500  0.1228
Si  0.1886  0.2500  0.8772
Ni  0.9792  0.7500  0.4584
Ni  0.5000  0.5000  0.0000
Ni  0.0000  0.0000  0.0000
Ni  0.4792  0.7500  0.4584
Ni  0.5208  0.2500  0.5416
Ni  0.0208  0.2500  0.5416
Hf  0.1040  0.4021  0.2080
Hf  0.6040  0.0979  0.2080
Hf  0.8960  0.5979  0.7920
Hf  0.3960  0.9021  0.7920



Material: BeTe3W
Method: DFT, GGA-PBEsol
State: optimized geometry

Calculated values
- relative energy among the computed polymorphs (eV per atom) = 0.000
- electronic total energy (eV/cell) = -23.0
- ΔE_f (raw) (meV/atom) = 1078
- symmetry = Pm-3m

Cell lengths 5.2508, 5.2508, 5.2508 Å; angles 90.00, 90.00, 90.00 degrees
Fractional positions:
Te  0.0000  0.0000  0.5000
Te  0.5000  0.0000  0.0000
Te  0.0000  0.5000  0.0000
Be  0.5000  0.5000  0.5000
W  0.0000  0.0000  0.0000



Material: RbOsOF2
Method: DFT, GGA-PBEsol
State: optimized geometry

Calculated values
- electronic total energy (eV/cell) = -17.5
- ΔE_f (raw) (meV/atom) = 973
- symmetry = P4/mmm

Cell lengths 4.1097, 4.7994, 4.7994 Å; angles 90.00, 90.00, 90.00 degrees
Last column: magnetic moment on the atom in μB.
Fractional positions:
Os  0.5000  0.5000  0.5000  3.72
F  0.0000  0.0000  0.5000  0.09
F  0.0000  0.5000  0.0000  0.09
Rb  0.0000  0.0000  0.0000  0.02
O  0.5000  0.0000  0.0000  0.19



Material: Sc2SiAu
Method: DFT, GGA-PBEsol
State: optimized geometry

Calculated values
- electronic total energy (eV/cell) = -26.2
- ΔE_f (raw) (meV/atom) = -818
- symmetry = Amm2

Cell lengths 3.7055, 4.0320, 5.3990 Å; angles 90.00, 110.07, 90.00 degrees
Fractional positions:
Si  0.8329  0.0000  0.6657
Au  0.6695  0.5000  0.3390
Sc  0.1060  0.0000  0.2120
Sc  0.3936  0.5000  0.7871



Material: TaMoF2
Method: DFT, GGA-PBEsol
State: optimized geometry

Calculated values
- electronic total energy (eV/cell) = -27.5
- ΔE_f (raw) (meV/atom) = 174
- symmetry = Fm-3m

Cell lengths 4.1661, 4.1661, 4.1661 Å; angles 60.00, 60.00, 60.00 degrees
Fractional positions:
F  0.7500  0.7500  0.7500
F  0.2500  0.2500  0.2500
Mo  0.0000  0.0000  0.0000
Ta  0.5000  0.5000  0.5000



Material: CaScPb2
Method: DFT, GGA-PBEsol
State: optimized geometry

Calculated values
- electronic total energy (eV/cell) = -18.6
- symmetry = P4/mmm

Cell lengths 3.4628, 3.4628, 8.6085 Å; angles 90.00, 90.00, 90.07 degrees
Fractional positions:
Ca  0.5000  0.5000  0.0000
Pb  0.0000  0.0000  0.2666
Pb  0.0000  0.0000  0.7334
Sc  0.5000  0.5000  0.5000



Material: Li4Fe5SbO12
Method: DFT, GGA-PBEsol
State: optimized geometry

Calculated values
- electronic total energy (eV/cell) = -153.1
- ΔE_f (raw) (meV/atom) = -1494
- symmetry = C2/m

Cell lengths 4.9361, 4.9378, 9.7448 Å; angles 94.81, 99.66, 60.01 degrees
Last column: magnetic moment on the atom in μB.
Fractional positions:
O  0.7897  0.0000  0.3935  0.05
O  0.5242  0.3426  0.6016  0.01
O  0.6871  0.3495  0.1100  0.00
O  0.6143  0.0000  0.8900  0.00
O  0.9633  0.3495  0.8900  0.00
O  0.0367  0.6505  0.1100  0.00
O  0.4758  0.6574  0.3984  0.01
O  0.8668  0.6574  0.6016  0.01
O  0.1332  0.3426  0.3984  0.01
O  0.2103  0.0000  0.6065  0.05
O  0.3129  0.6505  0.8900  0.00
O  0.3857  0.0000  0.1100  0.00
Fe  0.3334  0.3333  0.0000  0.63
Fe  0.8388  0.3223  0.5000  1.20
Fe  0.5000  0.0000  0.5000  1.18
Fe  0.6666  0.6667  0.0000  0.63
Fe  0.1612  0.6777  0.5000  1.20
Li  0.5813  0.6652  0.7362  0.00
Li  0.4187  0.3348  0.2638  0.00
Li  0.7535  0.6652  0.2638  0.00
Li  0.2465  0.3348  0.7362  0.00
Sb  0.0000  0.0000  0.0000  -0.01



Material: CrCdAu2
Method: DFT, GGA-PBEsol
State: optimized geometry

Calculated values
- electronic total energy (eV/cell) = -18.2
- symmetry = R3m

Cell lengths 2.9440, 2.9440, 9.2579 Å; angles 80.85, 80.85, 60.00 degrees
Last column: magnetic moment on the atom in μB.
Fractional positions:
Au  0.7492  0.7492  0.7524  -0.01
Au  0.9961  0.9961  0.0116  0.09
Cr  0.2524  0.2524  0.2428  3.21
Cd  0.5023  0.5023  0.4932  -0.01



Material: NbCr2W
Method: DFT, GGA-PBEsol
State: optimized geometry

Calculated values
- electronic total energy (eV/cell) = -45.0
- symmetry = Fm-3m

Cell lengths 4.2850, 4.2850, 4.2850 Å; angles 60.00, 60.00, 60.00 degrees
Fractional positions:
Nb  0.0000  0.0000  0.0000
Cr  0.7500  0.7500  0.7500
Cr  0.2500  0.2500  0.2500
W  0.5000  0.5000  0.5000



Material: Gd3Dy
Method: DFT, GGA-PBEsol
State: optimized geometry

Calculated values
- electronic total energy (eV/cell) = -48.2
- symmetry = Pm-3m

Cell lengths 4.9289, 4.9289, 4.9289 Å; angles 90.00, 90.00, 90.00 degrees
Last column: magnetic moment on the atom in μB.
Fractional positions:
Gd  0.5000  0.5000  0.0000  7.08
Gd  0.5000  0.0000  0.5000  7.08
Gd  0.0000  0.5000  0.5000  7.08
Dy  0.0000  0.0000  0.0000  -0.05



Material: GeBr2
Method: DFT, GGA-PBEsol
State: optimized geometry

Calculated values
- electronic total energy (eV/cell) = -20.4
- ΔE_f (raw) (meV/atom) = -507
- symmetry = P4_2/mnm

Cell lengths 4.0341, 6.6144, 6.6144 Å; angles 90.00, 90.00, 90.00 degrees
Fractional positions:
Ge  0.0000  0.0000  0.0000
Ge  0.5000  0.5000  0.5000
Br  0.5000  0.2031  0.7969
Br  0.0000  0.7031  0.7031
Br  0.5000  0.7969  0.2031
Br  0.0000  0.2969  0.2969



Material: TlSiSCl2
Method: DFT, GGA-PBEsol
State: optimized geometry

Calculated values
- electronic total energy (eV/cell) = -14.8
- ΔE_f (raw) (meV/atom) = 388
- symmetry = P4/mmm

Cell lengths 5.0882, 5.1477, 5.1477 Å; angles 90.00, 90.00, 90.00 degrees
Last column: magnetic moment on the atom in μB.
Fractional positions:
Cl  0.0000  0.0000  0.5000  -0.01
Cl  0.0000  0.5000  0.0000  -0.01
S  0.5000  0.0000  0.0000  -0.05
Tl  0.0000  0.0000  0.0000  0.00
Si  0.5000  0.5000  0.5000  0.20